{
  "formula": "PmMgIn",
  "functional": "GGA-PBE",
  "state": "relaxed",
  "lattice": [[4.757, 0.000, 0.000], [0.000, 6.644, -3.836], [0.000, 0.000, 7.671]],
  "species": ["Pm", "Pm", "Pm", "Mg", "Mg", "Mg", "In", "In", "In"],
  "fractional_positions": [[0.500, 0.431, 0.431], [0.500, 0.000, 0.569], [0.500, 0.569, 0.000], [0.000, 0.759, 0.759], [0.000, 0.000, 0.241], [0.000, 0.241, 0.000], [0.000, 0.333, 0.667], [0.000, 0.667, 0.333], [0.500, 0.000, 0.000]],
  "de_polymorph_mev_per_atom": 0.0,
  "e_tot_ev_per_atom": -3.45
}



{
  "formula": "Pm3Mg3In2",
  "functional": "GGA-PBE",
  "state": "relaxed",
  "lattice": [[-3.295, -3.806, 0.156], [3.459, -2.900, 2.278], [-2.735, 2.678, 7.561]],
  "species": ["Pm", "Pm", "Pm", "Mg", "Mg", "Mg", "In", "In"],
  "fractional_positions": [[0.000, 0.500, 0.500], [0.500, 0.000, 0.000], [0.500, 0.000, 0.500], [0.500, 0.500, 0.236], [0.500, 0.500, 0.764], [0.000, 0.500, 0.000], [0.000, 0.000, 0.241], [0.000, 0.000, 0.759]],
  "e_tot_ev_per_atom": -3.35
}



- Which formula does entry 1 have?
  PmMgIn